A relaxed ErU6 crystal, computed with GGA-PBE.

Magnetic moment in μB/f.u.: 0.66
Raw total energy in eV/atom: -9.5131
Energy of formation from the pure elements in eV per atom: 0.814

Cell and atoms, written as POSCAR:
```
ErU6
1.0
7.112 0.000 0.000
0.000 7.112 0.000
0.000 0.000 7.112
Er U
2 12
Cartesian
0.000 0.000 0.000 Er
3.556 3.556 3.556 Er
0.000 1.778 3.556 U
0.000 3.556 1.778 U
0.000 3.556 5.334 U
0.000 5.334 3.556 U
1.778 0.000 3.556 U
1.778 3.556 0.000 U
3.556 0.000 1.778 U
3.556 0.000 5.334 U
3.556 1.778 0.000 U
3.556 5.334 0.000 U
5.334 0.000 3.556 U
5.334 3.556 0.000 U
```

***

A relaxed Ac6Te3PbSe2 crystal, computed with GGA-PBE.

Magnetic moment in μB/f.u.: 0.00
Energy relative to the elements, uncorrected in eV per formula unit: -17.65
Raw total energy in eV/atom: -5.2000

Cell and atoms, written as POSCAR:
```
Ac6Te3PbSe2
1.0
10.245 -2.337 0.000
10.245 2.337 0.000
-2.326 0.000 9.084
Ac Te Pb Se
6 3 1 2
Cartesian
-0.443 0.000 2.268 Ac
5.720 0.000 3.897 Ac
4.746 0.000 8.182 Ac
13.417 0.000 0.902 Ac
12.443 0.000 5.187 Ac
18.606 0.000 6.817 Ac
1.441 0.000 7.554 Te
9.082 0.000 4.542 Te
16.723 0.000 1.530 Te
10.245 0.000 0.000 Pb
2.668 0.000 3.047 Se
15.495 0.000 6.038 Se
```

***

A relaxed LiTlAuS2 crystal, computed with GGA-PBE.

Magnetic moment in μB/f.u.: 0.00
Energy relative to the elements, uncorrected in eV per formula unit: -2.07
Raw total energy in eV/atom: -3.5765

Cell and atoms, written as POSCAR:
```
LiTlAuS2
1.0
2.738 -6.846 0.000
2.738 6.846 0.000
0.000 0.000 5.899
Li Tl Au S
2 2 2 4
Cartesian
1.369 0.000 0.000 Li
4.107 0.000 0.000 Li
2.738 3.423 4.310 Tl
2.738 -3.423 1.589 Tl
0.000 0.000 2.949 Au
2.738 0.000 2.949 Au
2.738 5.211 1.277 S
2.738 1.635 1.277 S
2.738 -1.635 4.621 S
2.738 -5.211 4.621 S
```

***

A relaxed Al5Tc24 crystal, computed with GGA-PBE.

Magnetic moment in μB/f.u.: 0.00
Raw total energy in eV/atom: -9.3654
Energy of formation from the pure elements in eV per atom: -0.141

Cell and atoms, written as POSCAR:
```
Al5Tc24
1.0
-4.767 4.767 4.767
4.767 -4.767 4.767
4.767 4.767 -4.767
Al Tc
5 24
Cartesian
0.000 0.000 0.000 Al
1.714 1.714 -1.714 Al
1.714 -1.714 1.714 Al
-1.714 1.714 1.714 Al
3.053 3.053 3.053 Al
4.424 1.359 -1.359 Tc
4.424 -1.359 1.359 Tc
6.840 0.864 -0.864 Tc
6.840 -0.864 0.864 Tc
2.694 0.864 0.864 Tc
3.903 3.903 -2.073 Tc
3.903 -2.073 3.903 Tc
5.110 1.359 1.359 Tc
1.359 4.424 -1.359 Tc
1.359 -1.359 4.424 Tc
0.864 2.694 0.864 Tc
0.864 0.864 2.694 Tc
3.408 3.408 0.343 Tc
3.408 0.343 3.408 Tc
-1.359 4.424 1.359 Tc
-1.359 1.359 4.424 Tc
0.864 6.840 -0.864 Tc
0.864 -0.864 6.840 Tc
1.359 5.110 1.359 Tc
1.359 1.359 5.110 Tc
0.343 3.408 3.408 Tc
-0.864 6.840 0.864 Tc
-0.864 0.864 6.840 Tc
-2.073 3.903 3.903 Tc
```

***

Table of ρ (g cm⁻³), in record order: 14.73; 8.05; 7.09; 9.53